VASP calculation (PBE) on BRhN2F after structural relaxation.

Crystal system: tetragonal
Formation energy without anion corrections: 1.50 eV per atom
E above lowest polymorph: 361 kJ/mol of formula units

Cell: 3.808 3.808 4.332 Å, 90.00 90.00 90.00°
Element x y z (fractional)
B: 0.000 0.000 0.000
Rh: 0.500 0.500 0.500
N: 0.000 0.500 0.500
N: 0.500 0.000 0.500
F: 0.500 0.500 0.000

=====

VASP calculation (PBE) on Cu4AgPd7 after structural relaxation.

Crystal system: monoclinic
Formation energy: 0.2318 eV per atom
E above lowest polymorph: 332 kJ/mol of formula units

Cell: 5.595 5.595 9.263 Å, 117.97 117.97 51.27°
Element x y z (fractional)
Cu: 0.067 0.067 0.267
Cu: 0.219 0.219 0.815
Cu: 0.781 0.781 0.185
Cu: 0.933 0.933 0.733
Ag: 0.500 0.500 0.500
Pd: 0.000 0.000 0.500
Pd: 0.159 0.159 0.058
Pd: 0.287 0.287 0.583
Pd: 0.458 0.458 0.120
Pd: 0.542 0.542 0.880
Pd: 0.713 0.713 0.417
Pd: 0.841 0.841 0.942

=====

VASP calculation (PBE) on Cs2ZnAsO4 after structural relaxation.

Crystal system: orthorhombic
Formation energy without anion corrections: -1.30 eV per atom

Cell: 13.001 11.568 7.057 Å, 84.87 62.40 32.73°
Element x y z (fractional)
Cs: 0.049 0.049 0.701
Cs: 0.299 0.299 0.951
Cs: 0.701 0.701 0.049
Cs: 0.951 0.951 0.299
Zn: 0.125 0.125 0.125
Zn: 0.875 0.875 0.875
As: 0.375 0.375 0.375
As: 0.625 0.625 0.625
O: 0.035 0.633 0.558
O: 0.274 0.558 0.633
O: 0.367 0.965 0.726
O: 0.442 0.726 0.965
O: 0.558 0.274 0.035
O: 0.633 0.035 0.274
O: 0.726 0.442 0.367
O: 0.965 0.367 0.442

=====

VASP calculation (PBE) on CaTcSe2Br after structural relaxation.

Crystal system: tetragonal
Formation energy without anion corrections: 0.38 eV per atom
E above lowest polymorph: 403 kJ/mol of formula units

Cell: 5.458 5.458 5.369 Å, 90.00 90.00 90.00°
Element x y z (fractional)
Ca: 0.000 0.000 0.000
Tc: 0.500 0.500 0.500
Se: 0.000 0.500 0.000
Se: 0.500 0.000 0.000
Br: 0.000 0.000 0.500

=====

VASP calculation (PBE) on Th2BSbRh6 after structural relaxation.

Crystal system: tetragonal
Formation energy without anion corrections: -0.33 eV per atom

Cell: 4.650 4.650 8.869 Å, 90.00 90.00 90.00°
Element x y z (fractional)
Th: 0.000 0.000 0.238
Th: 0.000 0.000 0.762
B: 0.500 0.500 0.000
Sb: 0.500 0.500 0.500
Rh: 0.000 0.500 0.000
Rh: 0.000 0.500 0.500
Rh: 0.500 0.000 0.000
Rh: 0.500 0.000 0.500
Rh: 0.500 0.500 0.217
Rh: 0.500 0.500 0.783

=====

VASP calculation (PBE) on Tm2CuPb after structural relaxation.

Crystal system: tetragonal
Formation energy: -0.2565 eV per atom

Cell: 4.901 4.901 3.994 Å, 90.00 90.00 90.00°
Element x y z (fractional)
Tm: 0.000 0.500 0.000
Tm: 0.500 0.000 0.000
Cu: 0.000 0.000 0.500
Pb: 0.500 0.500 0.500

=====

Ordered DOS at the Fermi energy results: 0.60, 1.19, 0.30, 1.02, 0.77, 0.85; unit states/eV/atom.